Record 1
Entry from Alexandria: a geometry-optimized NdTmCdNi structure (PBE-GGA).

For the total DFT energy (no corrections), the calculation gives -4.21 eV/atom. The formation energy comes out at -221 meV/atom.

It has space group F-43m (No. 216), with a = 7.226 Å, b = 7.226 Å, c = 7.226 Å, α = 90.00°, β = 90.00° and γ = 90.00°. The distinct sites, in fractional coordinates, are Nd at (0.000, 0.000, 0.000), Tm at (0.000, 0.000, 0.500), Cd at (0.250, 0.250, 0.250) and Ni at (0.250, 0.250, 0.750).


Record 2
Entry from Alexandria: a geometry-optimized CsTlF3 structure (PBE-GGA).

For the total DFT energy (no corrections), the calculation gives -3.88 eV/atom. The raw formation energy comes out at -10.554 eV per formula unit.

It has space group Fd-3m (No. 227, origin choice 2), with a = 12.455 Å, b = 12.455 Å, c = 12.455 Å, α = 90.00°, β = 90.00° and γ = 90.00°. The distinct sites, in fractional coordinates, are Cs at (0.000, 0.000, 0.000), Tl at (0.000, 0.000, 0.500) and F at (0.081, 0.375, 0.875).


Record 3
Entry from Alexandria: a geometry-optimized NaAu2S2 structure (PBE-GGA).

For the total DFT energy (no corrections), the calculation gives -3.52 eV/atom. The raw formation energy comes out at -1.463 eV per formula unit.

It has space group C2/m (No. 12), with a = 7.800 Å, b = 5.609 Å, c = 6.150 Å, α = 90.00°, β = 108.24° and γ = 90.00°. The distinct sites, in fractional coordinates, are Na at (0.000, 0.000, 0.000), Au at (0.250, 0.250, 0.500) and S at (0.208, 0.500, 0.186).


Record 4
Entry from Alexandria: a geometry-optimized LaYMgRu structure (PBE-GGA).

For the total DFT energy (no corrections), the calculation gives -5.67 eV/atom. The formation energy comes out at -108 meV/atom.

It has space group F-43m (No. 216), with a = 7.291 Å, b = 7.291 Å, c = 7.291 Å, α = 90.00°, β = 90.00° and γ = 90.00°. The distinct sites, in fractional coordinates, are La at (0.000, 0.000, 0.000), Y at (0.000, 0.000, 0.500), Mg at (0.250, 0.250, 0.750) and Ru at (0.250, 0.250, 0.250).


Record 5
Entry from Alexandria: a geometry-optimized SrNdAs2 structure (PBE-GGA).

For the total DFT energy (no corrections), the calculation gives -5.11 eV/atom. The formation energy comes out at -1171 meV/atom.

It has space group R-3m (No. 166, hexagonal axes), with a = 4.3309 Å, b = 4.3309 Å, c = 21.9527 Å, α = 90.00°, β = 90.00° and γ = 120.00°. The distinct sites, in fractional coordinates, are Sr at (0.0000, 0.0000, 0.0000), Nd at (0.0000, 0.0000, 0.5000) and As at (0.0000, 0.0000, 0.2438).


Record 6
Entry from Alexandria: a geometry-optimized Np2Ag3HSe6 structure (PBE-GGA).

For the total DFT energy (no corrections), the calculation gives -5.35 eV/atom.

It has space group C2/m (No. 12), with a = 17.499 Å, b = 4.598 Å, c = 6.968 Å, α = 90.00°, β = 106.30° and γ = 90.00°. The distinct sites, in fractional coordinates, are Np at (0.127, 0.000, 0.440), Ag at (0.000, 0.500, 0.500), Ag at (0.222, 0.500, 0.081), H at (0.000, 0.500, 0.000), Se at (0.053, 0.000, 0.742), Se at (0.089, 0.500, 0.189) and Se at (0.220, 0.500, 0.684).